1.
# TlC3, optimized geometry, DFT PBE
# Formation energy: 264 kJ/mol of atoms
# Magnetization: 0.00 μB per formula unit
# Density of states at the Fermi level: 1.22 states/eV/f.u.
# Polymorph energy (0 for the lowest one): 45.18 kcal/mol of atoms
# VASP energy: -19.08 eV per formula unit
# Crystal system: tetragonal
# Mass density: 7.24 g/cm3
data_TlC3
_chemical_formula_sum 'Tl4 C12'
_symmetry_space_group_name_H-M 'I 4/m m m'
_symmetry_Int_Tables_number 139
_symmetry_space_group_name_Hall '-I 4 2'
_cell_length_a 2.981
_cell_length_b 2.981
_cell_length_c 24.820
_cell_angle_alpha 90.00
_cell_angle_beta 90.00
_cell_angle_gamma 90.00
loop_
_atom_site_label
_atom_site_type_symbol
_atom_site_fract_x
_atom_site_fract_y
_atom_site_fract_z
Tl1 Tl 0.000 0.000 0.156
C1 C 0.000 0.000 0.467
C2 C 0.000 0.500 0.000
C3 C 0.000 0.500 0.250

=====

2.
# Tb6Y8Pb, optimized geometry, DFT PBE
# Formation energy: 18 kJ/mol of atoms
# Magnetization: 0.00 μB per formula unit
# Density of states at the Fermi level: 22.90 states/eV/f.u.
# VASP energy: -80.37 eV per formula unit
# Crystal system: trigonal
# Mass density: 6.23 g/cm3
data_Tb6Y8Pb
_chemical_formula_sum 'Tb6 Y8 Pb1'
_symmetry_space_group_name_H-M 'P -3'
_symmetry_Int_Tables_number 147
_cell_length_a 9.2044
_cell_length_b 9.2044
_cell_length_c 6.8048
_cell_angle_alpha 90.00
_cell_angle_beta 90.00
_cell_angle_gamma 120.00
loop_
_symmetry_equiv_pos_as_xyz
'x,y,z'
'-x,-y,-z'
'-y,x-y,z'
'y,-x+y,-z'
'-x+y,-x,z'
'x-y,x,-z'
loop_
_atom_site_label
_atom_site_type_symbol
_atom_site_fract_x
_atom_site_fract_y
_atom_site_fract_z
Tb1 Tb 0.0740 0.6805 0.1057
Y1 Y 0.0173 0.3276 0.3854
Y2 Y 0.3333 0.6667 0.6950
Pb1 Pb 0.0000 0.0000 0.0000

=====

3.
# PmNd3DySc, optimized geometry, DFT PBE
# Formation energy: 4 kJ/mol of atoms
# Magnetization: 0.00 μB per formula unit
# Density of states at the Fermi level: 9.11 states/eV/f.u.
# VASP energy: -29.77 eV per formula unit
# Crystal system: orthorhombic
# Mass density: 6.69 g/cm3
data_PmNd3DySc
_chemical_formula_sum 'Pm4 Nd12 Dy4 Sc4'
_symmetry_space_group_name_H-M 'C m c m'
_symmetry_Int_Tables_number 63
_symmetry_space_group_name_Hall '-C 2c 2'
_cell_length_a 5.030
_cell_length_b 15.224
_cell_length_c 10.183
_cell_angle_alpha 90.00
_cell_angle_beta 90.00
_cell_angle_gamma 90.00
loop_
_atom_site_label
_atom_site_type_symbol
_atom_site_fract_x
_atom_site_fract_y
_atom_site_fract_z
Pm1 Pm 0.000 0.005 0.250
Nd1 Nd 0.000 0.166 0.002
Nd2 Nd 0.000 0.331 0.250
Dy1 Dy 0.000 0.500 0.000
Sc1 Sc 0.000 0.334 0.750

=====

4.
# NdAlZn4Cu2, optimized geometry, DFT PBE
# Formation energy: -14 kJ/mol of atoms
# Magnetization: 0.00 μB per formula unit
# Density of states at the Fermi level: 2.91 states/eV/f.u.
# VASP energy: -22.95 eV per formula unit
# Crystal system: trigonal
# Mass density: 6.74 g/cm3
data_NdAlZn4Cu2
_chemical_formula_sum 'Nd3 Al3 Zn12 Cu6'
_symmetry_space_group_name_H-M 'R -3 m'
_symmetry_Int_Tables_number 166
_symmetry_space_group_name_Hall '-R 3 2"'
_cell_length_a 4.2127
_cell_length_b 4.2127
_cell_length_c 26.9127
_cell_angle_alpha 90.00
_cell_angle_beta 90.00
_cell_angle_gamma 120.00
loop_
_atom_site_label
_atom_site_type_symbol
_atom_site_fract_x
_atom_site_fract_y
_atom_site_fract_z
Nd1 Nd 0.0000 0.0000 0.0000
Al1 Al 0.0000 0.0000 0.5000
Zn1 Zn 0.0000 0.0000 0.1233
Zn2 Zn 0.0000 0.0000 0.4022
Cu1 Cu 0.0000 0.0000 0.2347

=====

5.
# LaPPtO2, optimized geometry, DFT PBE
# Magnetization: 0.30 μB per formula unit
# Density of states at the Fermi level: 4.31 states/eV/f.u.
# Polymorph energy (0 for the lowest one): 11.50 kcal/mol of atoms
# Formation energy from raw total energies: -430 meV/atom
# VASP energy: -28.45 eV per formula unit
# Crystal system: tetragonal
# Mass density: 5.69 g/cm3
data_LaPPtO2
_chemical_formula_sum 'La1 P1 Pt1 O2'
_symmetry_space_group_name_H-M 'P 4/m m m'
_symmetry_Int_Tables_number 123
_symmetry_space_group_name_Hall '-P 4 2'
_cell_length_a 4.053
_cell_length_b 4.053
_cell_length_c 7.052
_cell_angle_alpha 90.00
_cell_angle_beta 90.00
_cell_angle_gamma 90.00
loop_
_atom_site_label
_atom_site_type_symbol
_atom_site_fract_x
_atom_site_fract_y
_atom_site_fract_z
La1 La 0.000 0.000 0.000
P1 P 0.000 0.000 0.500
Pt1 Pt 0.500 0.500 0.500
O1 O 0.000 0.500 0.000

=====

6.
# Ho8NiSn2, optimized geometry, DFT PBE
# Formation energy: -33 kJ/mol of atoms
# Magnetization: 0.00 μB per formula unit
# Density of states at the Fermi level: 9.86 states/eV/f.u.
# VASP energy: -54.17 eV per formula unit
# Crystal system: monoclinic
# Mass density: 8.90 g/cm3
data_Ho8NiSn2
_chemical_formula_sum 'Ho16 Ni2 Sn4'
_symmetry_space_group_name_H-M 'C 1 2/m 1'
_symmetry_Int_Tables_number 12
_cell_length_a 18.852
_cell_length_b 4.892
_cell_length_c 6.703
_cell_angle_alpha 90.00
_cell_angle_beta 102.74
_cell_angle_gamma 90.00
loop_
_symmetry_equiv_pos_as_xyz
'x,y,z'
'-x,-y,-z'
'-x,y,-z'
'x,-y,z'
'x+1/2,y+1/2,z'
'-x+1/2,-y+1/2,-z'
'-x+1/2,y+1/2,-z'
'x+1/2,-y+1/2,z'
loop_
_atom_site_label
_atom_site_type_symbol
_atom_site_fract_x
_atom_site_fract_y
_atom_site_fract_z
Ho1 Ho 0.015 0.000 0.281
Ho2 Ho 0.092 0.500 0.977
Ho3 Ho 0.142 0.500 0.507
Ho4 Ho 0.216 0.000 0.822
Ni1 Ni 0.000 0.500 0.500
Sn1 Sn 0.183 0.000 0.266

=====

7.
# Ac2DyPb3, optimized geometry, DFT PBE
# Formation energy: -44 kJ/mol of atoms
# Magnetization: 0.00 μB per formula unit
# Density of states at the Fermi level: 4.92 states/eV/f.u.
# Polymorph energy (0 for the lowest one): 0.00 kcal/mol of atoms
# VASP energy: -26.70 eV per formula unit
# Crystal system: monoclinic
# Mass density: 10.35 g/cm3
data_Ac2DyPb3
_chemical_formula_sum 'Ac4 Dy2 Pb6'
_symmetry_space_group_name_H-M 'P 1 2/m 1'
_symmetry_Int_Tables_number 10
_cell_length_a 5.989
_cell_length_b 7.532
_cell_length_c 8.937
_cell_angle_alpha 90.00
_cell_angle_beta 99.77
_cell_angle_gamma 90.00
loop_
_symmetry_equiv_pos_as_xyz
'x,y,z'
'-x,-y,-z'
'-x,y,-z'
'x,-y,z'
loop_
_atom_site_label
_atom_site_type_symbol
_atom_site_fract_x
_atom_site_fract_y
_atom_site_fract_z
Ac1 Ac 0.000 0.000 0.000
Ac2 Ac 0.000 0.500 0.000
Ac3 Ac 0.359 0.000 0.678
Dy1 Dy 0.362 0.500 0.671
Pb1 Pb 0.147 0.271 0.352
Pb2 Pb 0.500 0.267 0.000

=====

8.
# PuScSb2, optimized geometry, DFT PBE
# Magnetization: 5.07 μB per formula unit
# Density of states at the Fermi level: 11.87 states/eV/f.u.
# Polymorph energy (0 for the lowest one): 2.29 kcal/mol of atoms
# Formation energy from raw total energies: -665 meV/atom
# VASP energy: -31.57 eV per formula unit
# Crystal system: trigonal
# Mass density: 7.72 g/cm3
data_PuScSb2
_chemical_formula_sum 'Pu3 Sc3 Sb6'
_symmetry_space_group_name_H-M 'R 3 m'
_symmetry_Int_Tables_number 160
_symmetry_space_group_name_Hall 'R 3 -2"'
_cell_length_a 4.3117
_cell_length_b 4.3117
_cell_length_c 21.3378
_cell_angle_alpha 90.00
_cell_angle_beta 90.00
_cell_angle_gamma 120.00
loop_
_atom_site_label
_atom_site_type_symbol
_atom_site_fract_x
_atom_site_fract_y
_atom_site_fract_z
Pu1 Pu 0.0000 0.0000 0.0000
Sc1 Sc 0.0000 0.0000 0.1708
Sb1 Sb 0.0000 0.0000 0.4221
Sb2 Sb 0.0000 0.0000 0.5820

=====

9.
# Pm6NdDy2Y3, optimized geometry, DFT PBE
# Formation energy: 1 kJ/mol of atoms
# Magnetization: 0.00 μB per formula unit
# Density of states at the Fermi level: 15.20 states/eV/f.u.
# VASP energy: -61.72 eV per formula unit
# Crystal system: monoclinic
# Mass density: 6.66 g/cm3
data_Pm6NdDy2Y3
_chemical_formula_sum 'Pm12 Nd2 Dy4 Y6'
_symmetry_space_group_name_H-M 'C 1 2/m 1'
_symmetry_Int_Tables_number 12
_cell_length_a 6.273
_cell_length_b 10.863
_cell_length_c 11.931
_cell_angle_alpha 90.00
_cell_angle_beta 100.06
_cell_angle_gamma 90.00
loop_
_symmetry_equiv_pos_as_xyz
'x,y,z'
'-x,-y,-z'
'-x,y,-z'
'x,-y,z'
'x+1/2,y+1/2,z'
'-x+1/2,-y+1/2,-z'
'-x+1/2,y+1/2,-z'
'x+1/2,-y+1/2,z'
loop_
_atom_site_label
_atom_site_type_symbol
_atom_site_fract_x
_atom_site_fract_y
_atom_site_fract_z
Pm1 Pm 0.249 0.167 0.250
Pm2 Pm 0.250 0.000 0.750
Nd1 Nd 0.000 0.500 0.500
Dy1 Dy 0.000 0.167 0.500
Y1 Y 0.000 0.000 0.000
Y2 Y 0.000 0.333 0.000

=====

10.
# Ta4Cu5, optimized geometry, DFT PBE
# Formation energy: 14 kJ/mol of atoms
# Magnetization: 0.00 μB per formula unit
# Density of states at the Fermi level: 6.91 states/eV/f.u.
# Polymorph energy (0 for the lowest one): 0.00 kcal/mol of atoms
# VASP energy: -66.61 eV per formula unit
# Crystal system: tetragonal
# Mass density: 12.68 g/cm3
data_Ta4Cu5
_chemical_formula_sum 'Ta8 Cu10'
_symmetry_space_group_name_H-M 'I 4/m m m'
_symmetry_Int_Tables_number 139
_symmetry_space_group_name_Hall '-I 4 2'
_cell_length_a 8.834
_cell_length_b 8.834
_cell_length_c 3.497
_cell_angle_alpha 90.00
_cell_angle_beta 90.00
_cell_angle_gamma 90.00
loop_
_atom_site_label
_atom_site_type_symbol
_atom_site_fract_x
_atom_site_fract_y
_atom_site_fract_z
Ta1 Ta 0.000 0.327 0.000
Cu1 Cu 0.000 0.000 0.000
Cu2 Cu 0.167 0.167 0.500

=====

11.
# PmTmPuSc, optimized geometry, DFT PBE
# Formation energy: 18 kJ/mol of atoms
# Magnetization: 5.93 μB per formula unit
# Density of states at the Fermi level: 9.64 states/eV/f.u.
# VASP energy: -29.15 eV per formula unit
# Crystal system: cubic
# Mass density: 8.61 g/cm3
data_PmTmPuSc
_chemical_formula_sum 'Pm4 Tm4 Pu4 Sc4'
_symmetry_space_group_name_H-M 'F -4 3 m'
_symmetry_Int_Tables_number 216
_symmetry_space_group_name_Hall 'F -4 2 3'
_cell_length_a 7.748
_cell_length_b 7.748
_cell_length_c 7.748
_cell_angle_alpha 90.00
_cell_angle_beta 90.00
_cell_angle_gamma 90.00
loop_
_atom_site_label
_atom_site_type_symbol
_atom_site_fract_x
_atom_site_fract_y
_atom_site_fract_z
Pm1 Pm 0.000 0.000 0.000
Tm1 Tm 0.250 0.250 0.750
Pu1 Pu 0.000 0.000 0.500
Sc1 Sc 0.250 0.250 0.250